Entry 1:
This record from Alexandria describes a relaxed BeSi2As crystal. The functional is PBE-GGA.

Computed properties:
Its uncorrected formation energy is 37.24 kJ per mole of atoms.

abc: 3.228 3.228 6.665
angles: 90.00 90.00 90.00
Space group P4mm (No. 99)
Inequivalent atoms, fractional coordinates:
Be (0.000, 0.000, 0.000)
Si (0.000, 0.000, 0.358)
Si (0.500, 0.500, 0.193)
As (0.500, 0.500, 0.835)


Entry 2:
This record from Alexandria describes a relaxed BeSiAs2 crystal. The functional is PBE-GGA.

Computed properties:
The energy above the most stable polymorph in this dataset comes out at 0.689 eV/atom. Its uncorrected formation energy is 45.42 kJ per mole of atoms.

abc: 2.726 4.969 9.393
angles: 90.00 90.00 90.00
Space group Imm2 (No. 44)
Inequivalent atoms, fractional coordinates:
Be (0.000, 0.000, 0.000)
Si (0.000, 0.500, 0.713)
As (0.000, 0.000, 0.469)
As (0.000, 0.500, 0.283)


Entry 3:
This record from Alexandria describes a relaxed BeSiAs3 crystal. The functional is PBE-GGA.

Computed properties:
The energy above the most stable polymorph in this dataset comes out at 0.000 eV/atom. Its uncorrected formation energy is 65.40 kJ per mole of atoms.

abc: 4.493 4.493 4.493
angles: 90.00 90.00 90.00
Space group Pm-3m (No. 221)
Inequivalent atoms, fractional coordinates:
Be (0.000, 0.000, 0.000)
Si (0.500, 0.500, 0.500)
As (0.000, 0.000, 0.500)


Entry 4:
This record from Alexandria describes a relaxed BeSi2As crystal. The functional is PBE-GGA.

Computed properties:
Its uncorrected formation energy is 41.95 kJ per mole of atoms.

abc: 3.689 3.765 8.367
angles: 90.00 90.00 90.00
Space group Cmmm (No. 65)
Inequivalent atoms, fractional coordinates:
Be (0.000, 0.000, 0.000)
Si (0.000, 0.500, 0.194)
As (0.000, 0.000, 0.500)


Entry 5:
This record from Alexandria describes a relaxed BeSi2As crystal. The functional is PBE-GGA.

Computed properties:
Its uncorrected formation energy is 60.13 kJ per mole of atoms.

abc: 4.122 4.122 3.504
angles: 90.00 90.00 90.00
Space group P4/mmm (No. 123)
Inequivalent atoms, fractional coordinates:
Be (0.000, 0.000, 0.000)
Si (0.000, 0.500, 0.500)
As (0.500, 0.500, 0.000)


Entry 6:
This record from Alexandria describes a relaxed BeSiAs2 crystal. The functional is PBE-GGA.

Computed properties:
The energy above the most stable polymorph in this dataset comes out at 0.425 eV/atom. Its uncorrected formation energy is 19.87 kJ per mole of atoms.

abc: 3.380 3.380 6.889
angles: 90.00 90.00 90.00
Space group P4mm (No. 99)
Inequivalent atoms, fractional coordinates:
Be (0.000, 0.000, 0.000)
Si (0.500, 0.500, 0.219)
As (0.000, 0.000, 0.343)
As (0.500, 0.500, 0.873)


Entry 7:
This record from Alexandria describes a relaxed Be3SiAs4 crystal. The functional is PBE-GGA.

Computed properties:
Its uncorrected formation energy is 6.54 kJ per mole of atoms.

abc: 5.204 5.204 5.204
angles: 90.00 90.00 90.00
Space group P-43m (No. 215)
Inequivalent atoms, fractional coordinates:
Be (0.000, 0.000, 0.500)
Si (0.000, 0.000, 0.000)
As (0.268, 0.268, 0.268)


Entry 8:
This record from Alexandria describes a relaxed BeSi2As crystal. The functional is PBE-GGA.

Computed properties:
Its uncorrected formation energy is 58.96 kJ per mole of atoms.

abc: 5.007 8.743 2.709
angles: 90.00 90.00 90.00
Space group Cmmm (No. 65)
Inequivalent atoms, fractional coordinates:
Be (0.000, 0.000, 0.000)
Si (0.250, 0.250, 0.500)
As (0.000, 0.500, 0.000)


Entry 9:
This record from Alexandria describes a relaxed BeSiAs2 crystal. The functional is PBE-GGA.

Computed properties:
The energy above the most stable polymorph in this dataset comes out at 0.697 eV/atom. Its uncorrected formation energy is 46.20 kJ per mole of atoms.

abc: 3.560 5.190 7.017
angles: 90.00 90.00 90.00
Space group Cmmm (No. 65)
Inequivalent atoms, fractional coordinates:
Be (0.000, 0.000, 0.000)
Si (0.000, 0.000, 0.500)
As (0.000, 0.500, 0.223)


Entry 10:
This record from Alexandria describes a relaxed BeSiAs2 crystal. The functional is PBE-GGA.

Computed properties:
The energy above the most stable polymorph in this dataset comes out at 0.782 eV/atom. Its uncorrected formation energy is 54.39 kJ per mole of atoms.

abc: 4.788 4.788 5.515
angles: 90.00 90.00 90.00
Space group I4/mmm (No. 139)
Inequivalent atoms, fractional coordinates:
Be (0.000, 0.000, 0.000)
Si (0.000, 0.000, 0.500)
As (0.000, 0.500, 0.250)


Entry 11:
This record from Alexandria describes a relaxed BeSiAs crystal. The functional is PBE-GGA.

Computed properties:
The energy above the most stable polymorph in this dataset comes out at 0.408 eV/atom. Its uncorrected formation energy is 34.17 kJ per mole of atoms.

abc: 3.5039 3.5039 4.2432
angles: 90.00 90.00 120.00
Space group P3m1 (No. 156)
Inequivalent atoms, fractional coordinates:
Be (0.0000, 0.0000, 0.0000)
Si (0.3333, 0.6667, 0.3122)
As (0.6667, 0.3333, 0.7272)


Entry 12:
This record from Alexandria describes a relaxed BeSi2As crystal. The functional is PBE-GGA.

Computed properties:
Its uncorrected formation energy is 25.94 kJ per mole of atoms.

abc: 5.368 5.368 10.611
angles: 90.00 90.00 90.00
Space group I-42d (No. 122)
Inequivalent atoms, fractional coordinates:
Be (0.000, 0.000, 0.000)
Si (0.215, 0.250, 0.125)
As (0.000, 0.000, 0.500)


Entry 13:
This record from Alexandria describes a relaxed BeSi4As crystal. The functional is PBE-GGA.

Computed properties:
Its uncorrected formation energy is 70.65 kJ per mole of atoms.

abc: 7.161 7.161 7.161
angles: 90.00 90.00 90.00
Space group F-43m (No. 216)
Inequivalent atoms, fractional coordinates:
Be (0.000, 0.000, 0.000)
Si (0.126, 0.126, 0.626)
As (0.250, 0.250, 0.250)


Entry 14:
This record from Alexandria describes a relaxed BeSiAs3 crystal. The functional is PBE-GGA.

Computed properties:
The energy above the most stable polymorph in this dataset comes out at 0.381 eV/atom. Its uncorrected formation energy is 102.14 kJ per mole of atoms.

abc: 4.740 4.740 4.740
angles: 90.00 90.00 90.00
Space group Pm-3m (No. 221)
Inequivalent atoms, fractional coordinates:
Be (0.000, 0.000, 0.000)
Si (0.500, 0.500, 0.500)
As (0.000, 0.500, 0.500)


Entry 15:
This record from Alexandria describes a relaxed BeSi2As crystal. The functional is PBE-GGA.

Computed properties:
Its uncorrected formation energy is 40.79 kJ per mole of atoms.

abc: 2.9349 2.9349 27.1184
angles: 90.00 90.00 120.00
Space group R3m (No. 160, hexagonal axes)
Inequivalent atoms, fractional coordinates:
Be (0.0000, 0.0000, 0.0000)
Si (0.0000, 0.0000, 0.4681)
Si (0.0000, 0.0000, 0.7323)
As (0.0000, 0.0000, 0.2713)


Entry 16:
This record from Alexandria describes a relaxed BeSi2As crystal. The functional is PBE-GGA.

Computed properties:
Its uncorrected formation energy is 29.21 kJ per mole of atoms.

abc: 4.918 5.128 9.306
angles: 90.00 90.00 90.00
Space group Fmmm (No. 69)
Inequivalent atoms, fractional coordinates:
Be (0.000, 0.000, 0.000)
Si (0.000, 0.250, 0.250)
As (0.000, 0.000, 0.500)


Entry 17:
This record from Alexandria describes a relaxed BeSiSnAs2 crystal. The functional is PBE-GGA.

Computed properties:
Its uncorrected formation energy is 59.69 kJ per mole of atoms.

abc: 4.447 4.447 5.082
angles: 90.00 90.00 90.00
Space group P4/mmm (No. 123)
Inequivalent atoms, fractional coordinates:
Be (0.000, 0.000, 0.000)
Si (0.500, 0.500, 0.500)
Sn (0.000, 0.000, 0.500)
As (0.000, 0.500, 0.000)


Entry 18:
This record from Alexandria describes a relaxed SmBeAs2 crystal. The functional is PBE-GGA.

Computed properties:
The energy above the most stable polymorph in this dataset comes out at 0.000 eV/atom.

abc: 3.939 3.939 9.835
angles: 90.00 90.00 90.00
Space group P4/nmm (No. 129, origin choice 2)
Inequivalent atoms, fractional coordinates:
Sm (0.250, 0.250, 0.232)
Be (0.250, 0.750, 0.500)
As (0.250, 0.250, 0.632)
As (0.250, 0.750, 0.000)


Entry 19:
This record from Alexandria describes a relaxed SmBeAs crystal. The functional is PBE-GGA.

Computed properties:
The calculation puts the final energy at -5.24 eV/atom.

abc: 3.8758 3.8758 4.2242
angles: 90.00 90.00 120.00
Space group P-6m2 (No. 187)
Inequivalent atoms, fractional coordinates:
Sm (0.0000, 0.0000, 0.0000)
Be (0.6667, 0.3333, 0.5000)
As (0.3333, 0.6667, 0.5000)


Entry 20:
This record from Alexandria describes a relaxed SmBeAs2 crystal. The functional is PBE-GGA.

Computed properties:
The energy above the most stable polymorph in this dataset comes out at 0.015 eV/atom.

abc: 3.962 3.962 19.487
angles: 90.00 90.00 90.00
Space group I4/mmm (No. 139)
Inequivalent atoms, fractional coordinates:
Sm (0.000, 0.000, 0.115)
Be (0.000, 0.500, 0.250)
As (0.000, 0.000, 0.316)
As (0.000, 0.500, 0.000)


Entry 21:
This record from Alexandria describes a relaxed SmBeAs2 crystal. The functional is PBE-GGA.

Computed properties:
The energy above the most stable polymorph in this dataset comes out at 0.453 eV/atom.

abc: 4.2634 4.2634 22.3784
angles: 90.00 90.00 120.00
Space group R-3m (No. 166, hexagonal axes)
Inequivalent atoms, fractional coordinates:
Sm (0.0000, 0.0000, 0.0000)
Be (0.0000, 0.0000, 0.5000)
As (0.0000, 0.0000, 0.4071)


Entry 22:
This record from Alexandria describes a relaxed BeSn4As6 crystal. The functional is PBE-GGA.

Computed properties:
The calculation puts the final energy at -4.28 eV/atom.

abc: 14.352 6.758 12.658
angles: 90.00 111.29 90.00
Space group Cc (No. 9)
Inequivalent atoms, fractional coordinates:
Be (0.000, 0.243, 0.000)
Sn (0.039, 0.046, 0.767)
Sn (0.223, 0.061, 0.578)
Sn (0.228, 0.391, 0.274)
Sn (0.420, 0.144, 0.945)
As (0.109, 0.282, 0.398)
As (0.161, 0.318, 0.051)
As (0.220, 0.204, 0.780)
As (0.409, 0.213, 0.313)
As (0.411, 0.459, 0.560)
As (0.421, 0.103, 0.632)


Entry 23:
This record from Alexandria describes a relaxed BeSn2As2 crystal. The functional is PBE-GGA.

Computed properties:
The calculation puts the final energy at -4.13 eV/atom.

abc: 6.135 6.135 5.849
angles: 90.00 90.00 90.00
Space group P4/mbm (No. 127)
Inequivalent atoms, fractional coordinates:
Be (0.000, 0.000, 0.000)
Sn (0.201, 0.299, 0.500)
As (0.143, 0.357, 0.000)


Entry 24:
This record from Alexandria describes a relaxed BeSn2As crystal. The functional is PBE-GGA.

Computed properties:
The energy above the most stable polymorph in this dataset comes out at 0.000 eV/atom.

abc: 5.984 5.984 11.715
angles: 90.00 90.00 90.00
Space group I-42d (No. 122)
Inequivalent atoms, fractional coordinates:
Be (0.000, 0.000, 0.000)
Sn (0.212, 0.250, 0.125)
As (0.000, 0.000, 0.500)


Entry 25:
This record from Alexandria describes a relaxed Be2SnAs crystal. The functional is PBE-GGA.

Computed properties:
The energy above the most stable polymorph in this dataset comes out at 0.000 eV/atom.

abc: 5.867 5.867 9.219
angles: 90.00 90.00 90.00
Space group I-42d (No. 122)
Inequivalent atoms, fractional coordinates:
Be (0.194, 0.250, 0.125)
Sn (0.000, 0.000, 0.500)
As (0.000, 0.000, 0.000)


Entry 26:
This record from Alexandria describes a relaxed Be2SnAs crystal. The functional is PBE-GGA.

Computed properties:
The energy above the most stable polymorph in this dataset comes out at 0.357 eV/atom.

abc: 6.366 6.366 6.366
angles: 90.00 90.00 90.00
Space group Fm-3m (No. 225)
Inequivalent atoms, fractional coordinates:
Be (0.250, 0.250, 0.250)
Sn (0.000, 0.000, 0.000)
As (0.000, 0.000, 0.500)


Entry 27:
This record from Alexandria describes a relaxed BeSnAs2 crystal. The functional is PBE-GGA.

Computed properties:
The calculation puts the final energy at -3.93 eV/atom.

abc: 4.1505 4.1505 21.2448
angles: 90.00 90.00 120.00
Space group R-3m (No. 166, hexagonal axes)
Inequivalent atoms, fractional coordinates:
Be (0.0000, 0.0000, 0.0000)
Sn (0.0000, 0.0000, 0.5000)
As (0.0000, 0.0000, 0.0988)


Entry 28:
This record from Alexandria describes a relaxed BeSnAs2 crystal. The functional is PBE-GGA.

Computed properties:
The calculation puts the final energy at -3.70 eV/atom.

abc: 6.749 6.749 6.749
angles: 90.00 90.00 90.00
Space group Fm-3m (No. 225)
Inequivalent atoms, fractional coordinates:
Be (0.000, 0.000, 0.000)
Sn (0.000, 0.000, 0.500)
As (0.250, 0.250, 0.250)